# 1
! TaNbRh PBE relaxed; values from VASP
&SYSTEM
  ibrav = 0, nat = 3, ntyp = 3
/
ATOMIC_SPECIES
Ta 180.95 Ta.upf
Nb 92.91 Nb.upf
Rh 102.91 Rh.upf
CELL_PARAMETERS angstrom
-1.3963 2.3004 4.0645
1.3963 -2.3004 4.0645
1.3963 2.3004 -4.0645
ATOMIC_POSITIONS angstrom
Ta 0.0000 0.0000 0.0000
Nb 1.3963 0.0000 2.5422
Rh 0.0000 0.0000 5.1655
! * energy of formation: 128 meV per atom
! * density of states at the Fermi level: 0.9194 states/eV/atom
! * offset from the most stable computed form: 382 meV/atom
! * SG: Imm2 (44)


# 2
! Ta5Nb4Rh PBE relaxed; values from VASP
&SYSTEM
  ibrav = 0, nat = 10, ntyp = 3
/
ATOMIC_SPECIES
Ta 180.95 Ta.upf
Nb 92.91 Nb.upf
Rh 102.91 Rh.upf
CELL_PARAMETERS angstrom
3.2930 0.0000 0.0000
0.0000 3.2930 0.0000
0.0000 0.0000 16.4394
ATOMIC_POSITIONS angstrom
Ta 0.0000 0.0000 0.0000
Ta 0.0000 0.0000 3.3772
Ta 0.0000 0.0000 6.6451
Ta 0.0000 0.0000 9.7943
Ta 0.0000 0.0000 13.0622
Nb 1.6465 1.6465 1.6643
Nb 1.6465 1.6465 5.0071
Nb 1.6465 1.6465 11.4323
Nb 1.6465 1.6465 14.7751
Rh 1.6465 1.6465 8.2197
! * energy of formation: -125 meV per atom
! * density of states at the Fermi level: 1.0559 states/eV/atom
! * SG: P4/mmm (123)


# 3
! Ta4Nb5Rh2 PBE relaxed; values from VASP
&SYSTEM
  ibrav = 0, nat = 11, ntyp = 3
/
ATOMIC_SPECIES
Ta 180.95 Ta.upf
Nb 92.91 Nb.upf
Rh 102.91 Rh.upf
CELL_PARAMETERS angstrom
8.2648 -1.6623 0.0000
8.2648 1.6623 0.0000
-1.8892 0.0000 7.0013
ATOMIC_POSITIONS angstrom
Ta 0.3207 0.0000 1.5446
Ta 4.1319 0.0000 4.1626
Ta 10.5084 0.0000 2.8387
Ta 14.3197 0.0000 5.4567
Nb 0.9240 0.0000 4.7508
Nb 3.4986 0.0000 0.9383
Nb 7.3202 0.0000 3.5006
Nb 11.1417 0.0000 6.0630
Nb 13.7163 0.0000 2.2505
Rh 6.7045 0.0000 0.3093
Rh 7.9358 0.0000 6.6920
! * energy of formation: -218 meV per atom
! * density of states at the Fermi level: 0.7782 states/eV/atom
! * offset from the most stable computed form: 0 meV/atom
! * SG: C2/m (12)


# 4
! TaNbRh PBE relaxed; values from VASP
&SYSTEM
  ibrav = 0, nat = 3, ntyp = 3
/
ATOMIC_SPECIES
Ta 180.95 Ta.upf
Nb 92.91 Nb.upf
Rh 102.91 Rh.upf
CELL_PARAMETERS angstrom
-1.4412 1.4412 6.1198
1.4412 -1.4412 6.1198
1.4412 1.4412 -6.1198
ATOMIC_POSITIONS angstrom
Ta 0.0000 0.0000 0.0000
Nb 0.0000 0.0000 8.3970
Rh 0.0000 0.0000 4.2557
! * energy of formation: -254 meV per atom
! * density of states at the Fermi level: 1.0831 states/eV/atom
! * offset from the most stable computed form: 0 meV/atom
! * SG: I4mm (107)


# 5
! TaNb4Rh5 PBE relaxed; values from VASP
&SYSTEM
  ibrav = 0, nat = 10, ntyp = 3
/
ATOMIC_SPECIES
Ta 180.95 Ta.upf
Nb 92.91 Nb.upf
Rh 102.91 Rh.upf
CELL_PARAMETERS angstrom
2.8904 0.0000 0.0000
0.0000 2.8904 0.0000
0.0000 0.0000 19.1773
ATOMIC_POSITIONS angstrom
Ta 0.0000 0.0000 0.0000
Nb 0.0000 0.0000 3.8285
Nb 0.0000 0.0000 7.6660
Nb 0.0000 0.0000 11.5113
Nb 0.0000 0.0000 15.3488
Rh 1.4452 1.4452 1.8810
Rh 1.4452 1.4452 5.7458
Rh 1.4452 1.4452 9.5887
Rh 1.4452 1.4452 13.4315
Rh 1.4452 1.4452 17.2963
! * energy of formation: -426 meV per atom
! * density of states at the Fermi level: 0.9015 states/eV/atom
! * SG: P4/mmm (123)


# 6
! Ta3Nb3Rh2 PBE relaxed; values from VASP
&SYSTEM
  ibrav = 0, nat = 8, ntyp = 3
/
ATOMIC_SPECIES
Ta 180.95 Ta.upf
Nb 92.91 Nb.upf
Rh 102.91 Rh.upf
CELL_PARAMETERS angstrom
-2.3167 2.3186 6.4212
2.3167 -2.3186 6.4212
2.3167 2.3186 -6.4212
ATOMIC_POSITIONS angstrom
Ta 0.0000 0.0000 0.0000
Ta 2.3167 0.0000 4.7836
Ta 0.0000 2.3186 1.6376
Nb 2.3167 0.0000 1.6137
Nb 0.0000 0.0000 6.4212
Nb 0.0000 2.3186 4.8074
Rh 0.0000 0.0000 3.2078
Rh 0.0000 0.0000 9.6345
! * energy of formation: -252 meV per atom
! * density of states at the Fermi level: 0.7717 states/eV/atom
! * SG: Immm (71)


Repeat the second record exactly.
! Ta5Nb4Rh PBE relaxed; values from VASP
&SYSTEM
  ibrav = 0, nat = 10, ntyp = 3
/
ATOMIC_SPECIES
Ta 180.95 Ta.upf
Nb 92.91 Nb.upf
Rh 102.91 Rh.upf
CELL_PARAMETERS angstrom
3.2930 0.0000 0.0000
0.0000 3.2930 0.0000
0.0000 0.0000 16.4394
ATOMIC_POSITIONS angstrom
Ta 0.0000 0.0000 0.0000
Ta 0.0000 0.0000 3.3772
Ta 0.0000 0.0000 6.6451
Ta 0.0000 0.0000 9.7943
Ta 0.0000 0.0000 13.0622
Nb 1.6465 1.6465 1.6643
Nb 1.6465 1.6465 5.0071
Nb 1.6465 1.6465 11.4323
Nb 1.6465 1.6465 14.7751
Rh 1.6465 1.6465 8.2197
! * energy of formation: -125 meV per atom
! * density of states at the Fermi level: 1.0559 states/eV/atom
! * SG: P4/mmm (123)